AcCd3AgHg | PBE-GGA | relaxed

Geometry as POSCAR:
```
AcCd3AgHg
1.0
3.412 -7.114 0.000
3.412 7.114 0.000
0.000 0.000 6.520
Ac Cd Ag Hg
2 6 2 2
direct
0.203 0.797 0.750 Ac
0.797 0.203 0.250 Ac
0.211 0.211 0.000 Cd
0.211 0.211 0.500 Cd
0.370 0.630 0.250 Cd
0.630 0.370 0.750 Cd
0.789 0.789 0.000 Cd
0.789 0.789 0.500 Cd
0.417 0.583 0.750 Ag
0.583 0.417 0.250 Ag
0.157 0.843 0.250 Hg
0.843 0.157 0.750 Hg
```

Summary:
- formation energy (meV/atom) = -118
- N(E_F) (states/eV/cell) = 6.7


Dy2TmZr | PBE-GGA | relaxed

Geometry as POSCAR:
```
Dy2TmZr
1.0
4.847 0.000 0.000
0.000 4.847 0.000
0.000 0.000 4.829
Dy Tm Zr
2 1 1
direct
0.000 0.500 0.000 Dy
0.500 0.000 0.000 Dy
0.000 0.000 0.500 Tm
0.500 0.500 0.500 Zr
```

Summary:
- formation energy (meV/atom) = 86
- E above lowest polymorph (meV/atom) = 12
- N(E_F) (states/eV/cell) = 5.0


Nb6PbS8 | PBE-GGA | relaxed

Geometry as POSCAR:
```
Nb6PbS8
1.0
9.658 0.000 0.000
-4.829 8.364 0.000
0.000 0.000 3.417
Nb Pb S
6 1 8
direct
0.113 0.625 0.248 Nb
0.375 0.487 0.248 Nb
0.487 0.113 0.752 Nb
0.513 0.887 0.248 Nb
0.625 0.513 0.752 Nb
0.887 0.375 0.752 Nb
0.000 0.000 0.000 Pb
0.055 0.341 0.253 S
0.286 0.945 0.253 S
0.333 0.667 0.749 S
0.341 0.286 0.747 S
0.659 0.714 0.253 S
0.667 0.333 0.251 S
0.714 0.055 0.747 S
0.945 0.659 0.747 S
```

Summary:
- E above lowest polymorph (meV/atom) = 0
- N(E_F) (states/eV/cell) = 4.0